1.
Density functional theory data (PBE with a Hubbard U) for an optimized crystal structure of LaCr2IO8.

Symmetry   No. 2
Crystal system   triclinic

Cell lengths 4.582, 5.133, 8.391 Å; angles 90.92, 100.09, 109.35 degrees
Fractional coordinates of all 12 atoms:
La  0.000  0.000  0.000
Cr  0.366  0.583  0.750
Cr  0.634  0.417  0.250
I  0.000  0.000  0.500
O  0.115  0.223  0.740
O  0.255  0.391  0.220
O  0.282  0.758  0.583
O  0.371  0.765  0.923
O  0.629  0.235  0.077
O  0.718  0.242  0.417
O  0.745  0.609  0.780
O  0.885  0.777  0.260



2.
Density functional theory data (PBE with a Hubbard U) for an optimized crystal structure of LaCrIO2.

Symmetry   No. 123
Crystal system   tetragonal
Density of states at the Fermi level   3.67 states/eV/cell

Cell lengths 4.401, 4.401, 6.965 Å; angles 90.00, 90.00, 90.00 degrees
Fractional coordinates of all 5 atoms:
La  0.000  0.000  0.000
Cr  0.500  0.500  0.500
I  0.000  0.000  0.500
O  0.000  0.500  0.000
O  0.500  0.000  0.000



Number 1: V 183 Å³/f.u., VASP energy -6.551 eV per atom, ρ 4.5 g cm⁻³. Number 2: V 135 Å³/f.u., VASP energy -6.047 eV per atom, ρ 4.3 g cm⁻³.